# CuHg3Pd

A relaxed structure of CuHg3Pd (PBE, Alexandria via LeMat-Bulk).

Structure (CIF):
```
data_CuHg3Pd
_space_group_name_H-M_alt 'P 1'
_space_group_IT_number 1
_cell_length_a 4.969
_cell_length_b 4.969
_cell_length_c 4.969
_cell_angle_alpha 90.00
_cell_angle_beta 90.00
_cell_angle_gamma 90.00
loop_
_space_group_symop_operation_xyz
'x,y,z'
loop_
_atom_site_label
_atom_site_fract_x
_atom_site_fract_y
_atom_site_fract_z
Cu1 0.000 0.000 0.000
Hg1 0.000 0.000 0.500
Hg2 0.000 0.500 0.000
Hg3 0.500 0.000 0.000
Pd1 0.500 0.500 0.500
```

Calculated values
SG: Pm-3m
V (Å³/atom): 24.54
Energy relative to the elements (kJ/mol of atoms): 44
DOS(E_F) (states/eV per atom): 0.440